No. 1
Compound: Nd6Bi3H
Source: Alexandria via LeMat-Bulk
Functional: PBE
Structure: relaxed

## Properties
**Space group**: Cmc2_1
**Magnetic moment**: 0.0 μB/f.u.
**DOS at the Fermi energy**: 0.791 states/eV/atom
**Raw total energy**: -4.88 eV per atom
**ρ**: 8.00 Mg/m³

POSCAR file:
```
Nd6Bi3H
1.0
-3.236 -5.571 -0.293
8.600 -4.938 -1.085
-1.519 0.364 9.853
Nd Bi H
12 6 2
direct
0.160 0.741 0.644
0.660 0.644 0.741
0.227 0.455 0.906
0.727 0.906 0.455
0.008 0.082 0.918
0.751 0.279 0.721
0.251 0.721 0.279
0.508 0.918 0.082
0.227 0.094 0.545
0.727 0.545 0.094
0.160 0.356 0.259
0.660 0.259 0.356
0.520 0.967 0.759
0.020 0.759 0.967
0.323 0.415 0.585
0.823 0.585 0.415
0.020 0.033 0.241
0.520 0.241 0.033
0.089 0.225 0.775
0.589 0.775 0.225
```


No. 2
Compound: Nd4Bi3H2
Source: Alexandria via LeMat-Bulk
Functional: PBE
Structure: relaxed

## Properties
**Space group**: C2/m
**Magnetic moment**: 0.0 μB/f.u.
**DOS at the Fermi energy**: 0.362 states/eV/atom
**Raw total energy**: -4.91 eV per atom
**ρ**: 8.37 Mg/m³

POSCAR file:
```
Nd4Bi3H2
1.0
4.418 0.000 0.000
-2.209 6.732 -0.752
0.000 -3.886 8.480
Nd Bi H
4 3 2
direct
0.690 0.380 0.112
0.310 0.620 0.888
0.896 0.793 0.596
0.104 0.207 0.404
0.611 0.222 0.706
0.000 0.000 0.000
0.389 0.778 0.294
0.695 0.391 0.380
0.305 0.609 0.620
```


No. 3
Compound: Nd2BiH4
Source: Alexandria via LeMat-Bulk
Functional: PBE
Structure: relaxed

## Properties
**Space group**: R-3m
**Magnetic moment**: 0.0 μB/f.u.
**DOS at the Fermi energy**: 0.164 states/eV/atom
**Raw total energy**: -4.44 eV per atom
**ρ**: 7.52 Mg/m³

POSCAR file:
```
Nd2BiH4
1.0
3.774 0.000 1.005
1.753 3.342 1.005
-0.291 -0.176 8.681
Nd Bi H
2 1 4
direct
0.233 0.233 0.302
0.767 0.767 0.698
0.000 0.000 0.000
0.439 0.439 0.684
0.138 0.138 0.585
0.561 0.561 0.316
0.862 0.862 0.415
```


No. 4
Compound: Nd2Bi2H3
Source: Alexandria via LeMat-Bulk
Functional: PBE
Structure: relaxed

## Properties
**Space group**: C2/m
**Magnetic moment**: 0.0 μB/f.u.
**DOS at the Fermi energy**: 0.205 states/eV/atom
**Raw total energy**: -4.39 eV per atom
**ρ**: 8.22 Mg/m³

POSCAR file:
```
Nd2Bi2H3
1.0
-3.479 -1.140 0.652
3.677 -2.433 4.765
-2.264 6.994 0.146
Nd Bi H
2 2 3
direct
0.858 0.715 0.755
0.142 0.285 0.245
0.867 0.735 0.241
0.133 0.265 0.759
0.500 0.000 0.000
0.677 0.354 0.436
0.323 0.646 0.564
```


No. 5
Compound: Nd3Bi2H
Source: Alexandria via LeMat-Bulk
Functional: PBE
Structure: relaxed

## Properties
**Space group**: C2/c
**Magnetic moment**: 0.0 μB/f.u.
**DOS at the Fermi energy**: 0.562 states/eV/atom
**Raw total energy**: -4.85 eV per atom
**ρ**: 8.04 Mg/m³

POSCAR file:
```
Nd3Bi2H
1.0
-3.402 5.176 1.910
-6.299 -4.892 2.040
4.985 -2.577 4.866
Nd Bi H
6 4 2
direct
0.364 0.250 0.000
0.636 0.750 0.000
0.050 0.169 0.302
0.748 0.331 0.698
0.252 0.669 0.302
0.950 0.831 0.698
0.735 0.517 0.328
0.593 0.017 0.328
0.407 0.983 0.672
0.265 0.483 0.672
0.982 0.750 0.000
0.018 0.250 0.000
```


No. 6
Compound: Nd4Bi5H2
Source: Alexandria via LeMat-Bulk
Functional: PBE
Structure: relaxed

## Properties
**Space group**: C2/m
**Magnetic moment**: 0.0 μB/f.u.
**DOS at the Fermi energy**: 0.405 states/eV/atom
**Raw total energy**: -4.47 eV per atom
**ρ**: 8.52 Mg/m³

POSCAR file:
```
Nd4Bi5H2
1.0
-1.419 3.105 0.816
-6.451 -1.281 -6.337
-4.515 -5.841 6.825
Nd Bi H
4 5 2
direct
0.666 0.596 0.331
0.990 0.681 0.979
0.334 0.404 0.669
0.010 0.319 0.021
0.139 0.899 0.278
0.861 0.101 0.722
0.174 0.288 0.347
0.500 0.000 0.000
0.826 0.712 0.653
0.549 0.541 0.097
0.451 0.459 0.903
```


Which formula does entry 3 have?
Nd2BiH4


Copy entry 6 word for word.
Compound: Nd4Bi5H2
Source: Alexandria via LeMat-Bulk
Functional: PBE
Structure: relaxed

## Properties
**Space group**: C2/m
**Magnetic moment**: 0.0 μB/f.u.
**DOS at the Fermi energy**: 0.405 states/eV/atom
**Raw total energy**: -4.47 eV per atom
**ρ**: 8.52 Mg/m³

POSCAR file:
```
Nd4Bi5H2
1.0
-1.419 3.105 0.816
-6.451 -1.281 -6.337
-4.515 -5.841 6.825
Nd Bi H
4 5 2
direct
0.666 0.596 0.331
0.990 0.681 0.979
0.334 0.404 0.669
0.010 0.319 0.021
0.139 0.899 0.278
0.861 0.101 0.722
0.174 0.288 0.347
0.500 0.000 0.000
0.826 0.712 0.653
0.549 0.541 0.097
0.451 0.459 0.903
```


Among the records above, which one has the highest DOS at the Fermi energy?
Nd6Bi3H